Record 1
Material: TbTlPb6
Method: DFT, PBE-GGA
State: optimized geometry

Results
Its total magnetization is 0.0 Bohr magnetons per cell. The density of states at the Fermi level is 6.21 states/eV per cell. As for the crystal system: tetragonal. The energy of formation from the pure elements comes out at -0.1189 eV per atom. The total energy is -3.77 eV per atom.

Cell: 4.883 4.883 10.179 Å, 90.00 90.00 90.00°
Space group P4/mmm (No. 123)
Asymmetric unit:
Tb 0.000 0.000 0.000 [1 per cell]
Tl 0.000 0.000 0.500 [1 per cell]
Pb 0.000 0.500 0.245 [4 per cell]
Pb 0.500 0.500 0.000 [1 per cell]
Pb 0.500 0.500 0.500 [1 per cell]

Record 2
Material: CaRh2Pb
Method: DFT, PBE-GGA
State: optimized geometry

Results
Its total magnetization is 0.0 Bohr magnetons per cell. The density of states at the Fermi level is 3.93 states/eV per cell. As for the crystal system: tetragonal. The energy of formation from the pure elements comes out at -0.0643 eV per atom. The total energy is -5.17 eV per atom.

Cell: 3.412 3.412 7.237 Å, 90.00 90.00 90.00°
Space group P4mm (No. 99)
Asymmetric unit:
Ca 0.000 0.000 0.000 [1 per cell]
Rh 0.000 0.000 0.584 [1 per cell]
Rh 0.500 0.500 0.747 [1 per cell]
Pb 0.500 0.500 0.352 [1 per cell]

Record 3
Material: ZnWBr2
Method: DFT, PBE-GGA
State: optimized geometry

Results
The calculation puts the relative energy among the computed polymorphs at 4.45 eV per formula unit. Its total magnetization is 16.0 Bohr magnetons per cell. As for the raw formation energy: 1.2597 eV/atom. The density of states at the Fermi level is 15.37 states/eV per cell. As for the crystal system: cubic. The total energy is -3.13 eV per atom.

Cell: 7.078 7.078 7.078 Å, 90.00 90.00 90.00°
Space group F-43m (No. 216)
Asymmetric unit:
Zn 0.000 0.000 0.000 [4 per cell]
W 0.250 0.250 0.250 [4 per cell]
Br 0.000 0.000 0.500 [4 per cell]
Br 0.250 0.250 0.750 [4 per cell]